A relaxed structure of BaLiIr2. Source: Alexandria via LeMat-Bulk, functional GGA-PBE.

Summary:
E above lowest polymorph   18.796 kcal/mol of atoms
Space-group type   No. 166

a b c (Å): 9.8916 9.8916 9.8916
angles (deg): 17.24 17.24 17.24
Atoms (fractional coordinates):
Ba1 0.0000 0.0000 0.0000
Li1 0.5000 0.5000 0.5000
Ir1 0.2381 0.2381 0.2381
Ir2 0.7619 0.7619 0.7619

=====

A relaxed structure of LiCePuTl. Source: Alexandria via LeMat-Bulk, functional GGA-PBE.

Summary:
Space-group type   No. 216
Uncorrected energy   -6.106 eV/atom

a b c (Å): 5.2186 5.2186 5.2186
angles (deg): 60.00 60.00 60.00
Atoms (fractional coordinates):
Li1 0.0000 0.0000 0.0000
Ce1 0.5000 0.5000 0.5000
Pu1 0.7500 0.7500 0.7500
Tl1 0.2500 0.2500 0.2500

=====

A relaxed structure of Fe2HgIrSe. Source: Alexandria via LeMat-Bulk, functional GGA-PBE.

Summary:
Space-group type   No. 123
Formation energy from raw total energies   1.730 eV/atom

a b c (Å): 4.7982 4.7982 5.0259
angles (deg): 90.00 90.00 90.00
Atoms (fractional coordinates):
Fe1 0.0000 0.5000 0.0000
Fe2 0.5000 0.0000 0.0000
Hg1 0.0000 0.0000 0.0000
Ir1 0.0000 0.0000 0.5000
Se1 0.5000 0.5000 0.5000

=====

A relaxed structure of Tb7Sm6Y16. Source: Alexandria via LeMat-Bulk, functional GGA-PBE.

Summary:
Space-group type   No. 225
Uncorrected energy   -5.415 eV/atom

a b c (Å): 11.2211 11.2211 11.2211
angles (deg): 60.00 60.00 60.00
Atoms (fractional coordinates):
Tb1 0.0000 0.0000 0.0000
Tb2 0.0000 0.0000 0.5000
Tb3 0.0000 0.5000 0.0000
Tb4 0.0000 0.5000 0.5000
Tb5 0.5000 0.0000 0.0000
Tb6 0.5000 0.0000 0.5000
Tb7 0.5000 0.5000 0.0000
Sm1 0.2713 0.2713 0.7287
Sm2 0.2713 0.7287 0.2713
Sm3 0.2713 0.7287 0.7287
Sm4 0.7287 0.2713 0.2713
Sm5 0.7287 0.2713 0.7287
Sm6 0.7287 0.7287 0.2713
Y1 0.0472 0.6509 0.6509
Y2 0.1251 0.1251 0.1251
Y3 0.1251 0.1251 0.6248
Y4 0.1251 0.6248 0.1251
Y5 0.3491 0.3491 0.3491
Y6 0.3491 0.3491 0.9528
Y7 0.3491 0.9528 0.3491
Y8 0.3752 0.8749 0.8749
Y9 0.6248 0.1251 0.1251
Y10 0.6509 0.0472 0.6509
Y11 0.6509 0.6509 0.0472
Y12 0.6509 0.6509 0.6509
Y13 0.8749 0.3752 0.8749
Y14 0.8749 0.8749 0.3752
Y15 0.8749 0.8749 0.8749
Y16 0.9528 0.3491 0.3491

=====

A relaxed structure of SrTa2Zn. Source: Alexandria via LeMat-Bulk, functional GGA-PBE.

Summary:
Space-group type   No. 35
Uncorrected energy   -6.229 eV/atom

a b c (Å): 2.9527 2.9527 9.7863
angles (deg): 90.00 90.00 100.22
Atoms (fractional coordinates):
Sr1 0.0000 0.0000 0.0000
Ta1 0.0000 0.0000 0.5272
Ta2 0.5000 0.5000 0.3059
Zn1 0.5000 0.5000 0.7375

=====

A relaxed structure of MnGeCN. Source: Alexandria via LeMat-Bulk, functional GGA-PBE.

Summary:
E above lowest polymorph   3.314 kcal/mol of atoms
Space-group type   No. 156
Formation energy from raw total energies   0.425 eV/atom

a b c (Å): 2.7291 2.7291 6.2527
angles (deg): 90.00 90.00 120.00
Atoms (fractional coordinates):
Mn1 0.0000 0.0000 0.0000
Ge1 0.6667 0.3333 0.5075
C1 0.6667 0.3333 0.1898
N1 0.6667 0.3333 0.8214

=====

Going through the records in order, we get size of the total moment values of 0.31; 7.92; 6.93; 0.01; 0.00; 0.00 Bohr magnetons per cell.